(1)
Material: PmHoGe4
Method: DFT, GGA-PBE
State: optimized geometry

abc: 5.6662 5.6662 5.6662
angles: 60.00 60.00 60.00
Sites, in units of the cell vectors:
Ge 0.6239 0.6239 0.1282
Ge 0.6239 0.1282 0.6239
Ge 0.6239 0.6239 0.6239
Ge 0.1282 0.6239 0.6239
Ho 0.2500 0.2500 0.2500
Pm 0.0000 0.0000 0.0000

Volume, Å³ per cell: 129
ΔH_f (0 K), meV/atom: -327
Magnetization, μB/cell: 0.0
E, eV/cell: -29.8


(2)
Material: EuGdHgGe
Method: DFT, GGA-PBE
State: optimized geometry

abc: 5.3011 5.3011 5.3011
angles: 60.00 60.00 60.00
Sites, in units of the cell vectors:
Eu 0.0000 0.0000 0.0000
Ge 0.2500 0.2500 0.2500
Gd 0.5000 0.5000 0.5000
Hg 0.7500 0.7500 0.7500

Volume, Å³ per cell: 105
ΔH_f (0 K), meV/atom: -553
Magnetization, μB/cell: 0.0
E, eV/cell: -31.5


(3)
Material: LiHfVTc
Method: DFT, GGA-PBE
State: optimized geometry

abc: 4.4458 4.4458 4.4458
angles: 60.00 60.00 60.00
Sites, in units of the cell vectors:
Li 0.0000 0.0000 0.0000
Hf 0.2500 0.2500 0.2500
Tc 0.5000 0.5000 0.5000
V 0.7500 0.7500 0.7500

Volume, Å³ per cell: 62
ΔH_f (0 K), meV/atom: -4
Magnetization, μB/cell: 0.0
E, eV/cell: -31.4


(4)
Material: PuTiZn2
Method: DFT, GGA-PBE
State: optimized geometry

abc: 4.7794 4.7794 4.7794
angles: 60.00 60.00 60.00
Sites, in units of the cell vectors:
Zn 0.2500 0.2500 0.2500
Zn 0.7500 0.7500 0.7500
Ti 0.5000 0.5000 0.5000
Pu 0.0000 0.0000 0.0000

Volume, Å³ per cell: 77
ΔH_f (0 K), meV/atom: 6
Magnetization, μB/cell: 6.9
Energy above the lowest structure with this stoichiometry, eV/atom: 0.117
E, eV/cell: -24.8


(5)
Material: PmGa9Pt2
Method: DFT, GGA-PBE
State: optimized geometry

abc: 6.5708 8.8121 8.8121
angles: 82.01 68.11 68.11
Sites, in units of the cell vectors:
Pm 0.5000 0.0000 0.0000
Pm 0.2500 0.5000 0.5000
Ga 0.7500 0.5000 0.5000
Ga 0.0000 0.0000 0.0000
Ga 0.9775 0.9325 0.6959
Ga 0.6058 0.0675 0.3041
Ga 0.6599 0.1959 0.5675
Ga 0.4233 0.8041 0.4325
Ga 0.7725 0.8041 0.5675
Ga 0.1442 0.1959 0.4325
Ga 0.0901 0.9325 0.3041
Ga 0.3267 0.0675 0.6959
Ga 0.7725 0.5675 0.8041
Ga 0.1442 0.4325 0.1959
Ga 0.0901 0.3041 0.9325
Ga 0.3267 0.6959 0.0675
Ga 0.9775 0.6959 0.9325
Ga 0.6058 0.3041 0.0675
Ga 0.6599 0.5675 0.1959
Ga 0.4233 0.4325 0.8041
Pt 0.8750 0.2500 0.7500
Pt 0.8750 0.7500 0.2500
Pt 0.8750 0.2500 0.2500
Pt 0.3750 0.7500 0.7500

Volume, Å³ per cell: 439
ΔH_f (0 K), meV/atom: -359
Magnetization, μB/cell: 0.0
E, eV/cell: -96.8


(6)
Material: LaSbOF2
Method: DFT, GGA-PBE
State: optimized geometry

abc: 4.7169 4.7169 4.2899
angles: 90.00 90.00 90.00
Sites, in units of the cell vectors:
Sb 0.0000 0.0000 0.0000
F 0.0000 0.5000 0.0000
F 0.5000 0.0000 0.0000
O 0.0000 0.0000 0.5000
La 0.5000 0.5000 0.5000

Volume, Å³ per cell: 95
Magnetization, μB/cell: 0.0
Energy relative to the elements, uncorrected, eV per atom: -1.644
Energy above the lowest structure with this stoichiometry, eV/atom: 0.581
E, eV/cell: -26.0


(7)
Material: MnTlCrI6
Method: DFT, GGA-PBE
State: optimized geometry

abc: 7.3418 7.3418 7.6825
angles: 90.00 90.00 60.00
Sites, in units of the cell vectors:
Mn 0.3333 0.3334 0.5000
Tl 0.0000 0.0000 0.0000
Cr 0.6666 0.6666 0.5000
I 0.9869 0.3768 0.2915
I 0.3767 0.9869 0.7085
I 0.6363 0.3768 0.7085
I 0.9869 0.6363 0.7084
I 0.3767 0.6363 0.2915
I 0.6363 0.9869 0.2915

Volume, Å³ per cell: 359
Magnetization, μB/cell: 8.0
Energy relative to the elements, uncorrected, eV per atom: -0.445
E, eV/cell: -34.5


(8)
Material: PuSiH2O6
Method: DFT, GGA-PBE
State: optimized geometry

abc: 4.8856 5.2851 5.3542
angles: 94.52 112.87 121.88
Sites, in units of the cell vectors:
Pu 0.9966 0.4978 0.4803
Si 0.9966 0.9978 0.9803
H 0.6203 0.7323 0.1788
H 0.3728 0.2632 0.7817
O 0.5312 0.8704 0.7481
O 0.4620 0.1251 0.2124
O 0.8522 0.7779 0.1998
O 0.1163 0.3508 0.2123
O 0.8768 0.6447 0.7482
O 0.1409 0.2177 0.7608

Volume, Å³ per cell: 101
Magnetization, μB/cell: 2.0
E, eV/cell: -75.9


(9)
Material: Na2HgAu
Method: DFT, GGA-PBE
State: optimized geometry

abc: 8.2304 8.2304 6.6042
angles: 51.46 51.46 90.00
Sites, in units of the cell vectors:
Na 0.6053 0.1250 0.2500
Na 0.1447 0.6250 0.2500
Na 0.3750 0.3947 0.7500
Na 0.8750 0.8553 0.7500
Au 0.5000 0.5000 0.0000
Au 0.2500 0.7500 0.5000
Hg 0.0000 0.0000 0.0000
Hg 0.7500 0.2500 0.5000

Volume, Å³ per cell: 211
ΔH_f (0 K), meV/atom: -149
Magnetization, μB/cell: 0.0
E, eV/cell: -13.6


(10)
Material: Zr2V2Rh
Method: DFT, GGA-PBE
State: optimized geometry

abc: 6.3984 6.3984 4.3432
angles: 90.00 90.00 90.00
Sites, in units of the cell vectors:
Rh 0.0000 0.0000 0.0000
Rh 0.5000 0.5000 0.0000
Zr 0.1734 0.6734 0.5000
Zr 0.6734 0.8266 0.5000
Zr 0.8266 0.3266 0.5000
Zr 0.3266 0.1734 0.5000
V 0.3656 0.8656 0.0000
V 0.8656 0.6344 0.0000
V 0.6344 0.1344 0.0000
V 0.1344 0.3656 0.0000

Volume, Å³ per cell: 178
ΔH_f (0 K), meV/atom: -81
Magnetization, μB/cell: 0.0
Energy above the lowest structure with this stoichiometry, eV/atom: 0.000
E, eV/cell: -86.2


(11)
Material: In2ReAu
Method: DFT, GGA-PBE
State: optimized geometry

abc: 4.9589 4.9589 3.1194
angles: 90.00 90.00 103.13
Sites, in units of the cell vectors:
Au 0.0000 0.5000 0.5000
In 0.0000 0.0000 0.0000
In 0.5000 0.5000 0.0000
Re 0.5000 0.0000 0.5000

Volume, Å³ per cell: 75
ΔH_f (0 K), meV/atom: 364
Magnetization, μB/cell: 0.0
Energy above the lowest structure with this stoichiometry, eV/atom: 0.015
E, eV/cell: -19.7


(12)
Material: Hf3ScIn
Method: DFT, GGA-PBE
State: optimized geometry

abc: 5.2441 5.2441 5.2441
angles: 90.00 90.00 90.00
Sites, in units of the cell vectors:
Sc 0.5000 0.5000 0.5000
Hf 0.0000 0.5000 0.0000
Hf 0.0000 0.0000 0.5000
Hf 0.5000 0.0000 0.0000
In 0.0000 0.0000 0.0000

Volume, Å³ per cell: 144
ΔH_f (0 K), meV/atom: 1116
Magnetization, μB/cell: 0.0
Energy above the lowest structure with this stoichiometry, eV/atom: 1.166
E, eV/cell: -33.3


(13)
Material: NaCaAlIr2
Method: DFT, GGA-PBE
State: optimized geometry

abc: 4.7350 4.4308 4.7350
angles: 90.00 90.00 90.00
Sites, in units of the cell vectors:
Na 0.0000 0.0000 0.0000
Ca 0.0000 0.5000 0.0000
Ir 0.0000 0.0000 0.5000
Ir 0.5000 0.0000 0.0000
Al 0.5000 0.5000 0.5000

Volume, Å³ per cell: 99
ΔH_f (0 K), meV/atom: 1249
Magnetization, μB/cell: 0.0
E, eV/cell: -18.5


(14)
Material: NpTlSn2O8
Method: DFT, GGA-PBE
State: optimized geometry

abc: 5.0428 5.0388 6.6282
angles: 90.00 90.00 90.24
Sites, in units of the cell vectors:
Np 0.0000 0.0000 0.0000
Tl 0.0000 0.0000 0.5000
Sn 0.5000 0.5000 0.7497
Sn 0.5000 0.5000 0.2503
O 0.2046 0.7940 0.2268
O 0.6890 0.6905 0.0000
O 0.7954 0.2060 0.2268
O 0.7954 0.2060 0.7732
O 0.3110 0.3095 0.0000
O 0.2046 0.7940 0.7732
O 0.6830 0.6842 0.5000
O 0.3170 0.3158 0.5000

Volume, Å³ per cell: 168
Magnetization, μB/cell: 1.8
Energy relative to the elements, uncorrected, eV per atom: -1.753
E, eV/cell: -84.0


(15)
Material: Co2Ag
Method: DFT, GGA-PBE
State: optimized geometry

abc: 6.0936 6.0936 4.1980
angles: 90.00 90.00 120.00
Sites, in units of the cell vectors:
Co 0.0000 0.2231 0.0000
Co 0.0000 0.4737 0.5000
Co 0.2231 0.0000 0.0000
Co 0.7769 0.7769 0.0000
Co 0.4737 0.0000 0.5000
Co 0.5263 0.5263 0.5000
Ag 0.0000 0.0000 0.5000
Ag 0.3333 0.6667 0.0000
Ag 0.6667 0.3333 0.0000

Volume, Å³ per cell: 135
ΔH_f (0 K), meV/atom: 798
Magnetization, μB/cell: 11.1
Energy above the lowest structure with this stoichiometry, eV/atom: 0.530
E, eV/cell: -44.0


(16)
Material: CrCuPdRu
Method: DFT, GGA-PBE
State: optimized geometry

abc: 4.2591 4.2591 4.2591
angles: 60.00 60.00 60.00
Sites, in units of the cell vectors:
Ru 0.2500 0.2500 0.2500
Cu 0.0000 0.0000 0.0000
Pd 0.7500 0.7500 0.7500
Cr 0.5000 0.5000 0.5000

Volume, Å³ per cell: 55
ΔH_f (0 K), meV/atom: 153
Magnetization, μB/cell: 1.5
E, eV/cell: -27.6


(17)
Material: AlOsBr4
Method: DFT, GGA-PBE
State: optimized geometry

abc: 6.2575 6.2575 6.2575
angles: 60.00 60.00 60.00
Sites, in units of the cell vectors:
Al 0.0000 0.0000 0.0000
Os 0.7500 0.7500 0.7500
Br 0.8728 0.3757 0.3757
Br 0.3757 0.3757 0.8728
Br 0.3757 0.8728 0.3757
Br 0.3757 0.3757 0.3757

Volume, Å³ per cell: 173
Magnetization, μB/cell: 4.0
Energy relative to the elements, uncorrected, eV per atom: 1.514
E, eV/cell: -12.6


(18)
Material: Hf2TcAuF
Method: DFT, GGA-PBE
State: optimized geometry

abc: 4.8990 5.0544 4.8990
angles: 90.00 90.00 90.00
Sites, in units of the cell vectors:
Hf 0.0000 0.0000 0.5000
Hf 0.5000 0.0000 0.0000
Au 0.0000 0.5000 0.0000
Tc 0.0000 0.0000 0.0000
F 0.5000 0.5000 0.5000

Volume, Å³ per cell: 121
Magnetization, μB/cell: 0.0
Energy relative to the elements, uncorrected, eV per atom: 0.337
E, eV/cell: -33.7


(19)
Material: Sm3Er3Pt2
Method: DFT, GGA-PBE
State: optimized geometry

abc: 3.9607 6.7397 17.4611
angles: 90.00 90.00 107.09
Sites, in units of the cell vectors:
Sm 0.9528 0.9057 0.3961
Sm 0.0472 0.0943 0.8961
Sm 0.9528 0.9057 0.1039
Sm 0.0472 0.0943 0.6039
Sm 0.6598 0.3197 0.2500
Sm 0.3402 0.6803 0.7500
Er 0.6565 0.3130 0.4583
Er 0.3435 0.6870 0.9583
Er 0.6565 0.3130 0.0417
Er 0.3435 0.6870 0.5417
Er 0.3888 0.7775 0.2500
Er 0.6112 0.2225 0.7500
Pt 0.7428 0.4856 0.8772
Pt 0.2572 0.5144 0.3772
Pt 0.7428 0.4856 0.6228
Pt 0.2572 0.5144 0.1228

Volume, Å³ per cell: 446
ΔH_f (0 K), meV/atom: -601
Magnetization, μB/cell: 0.0
E, eV/cell: -89.5


(20)
Material: Er2TiB2Rh5
Method: DFT, GGA-PBE
State: optimized geometry

abc: 3.2023 9.5065 9.5065
angles: 90.00 90.00 90.00
Sites, in units of the cell vectors:
Er 0.0000 0.6752 0.1752
Er 0.0000 0.3248 0.8248
Er 0.0000 0.1752 0.3248
Er 0.0000 0.8248 0.6752
Ti 0.0000 0.0000 0.0000
Ti 0.0000 0.5000 0.5000
B 0.0000 0.1213 0.6213
B 0.0000 0.8787 0.3787
B 0.0000 0.6213 0.8787
B 0.0000 0.3787 0.1213
Rh 0.5000 0.2191 0.0699
Rh 0.5000 0.7809 0.9301
Rh 0.5000 0.0699 0.7809
Rh 0.5000 0.7191 0.4301
Rh 0.5000 0.9301 0.2191
Rh 0.5000 0.2809 0.5699
Rh 0.5000 0.5699 0.7191
Rh 0.5000 0.4301 0.2809
Rh 0.5000 0.5000 0.0000
Rh 0.5000 0.0000 0.5000

Volume, Å³ per cell: 289
ΔH_f (0 K), meV/atom: -840
Magnetization, μB/cell: 0.0
E, eV/cell: -151.1


(21)
Material: HoSnGe2O8
Method: DFT, GGA-PBE
State: optimized geometry

abc: 5.8541 5.8541 5.8541
angles: 107.33 107.33 113.83
Sites, in units of the cell vectors:
Ho 0.2500 0.7500 0.5000
Sn 0.0000 0.0000 0.0000
Ge 0.7500 0.2500 0.5000
Ge 0.5000 0.5000 0.0000
O 0.3729 0.0636 0.3093
O 0.3056 0.4859 0.1802
O 0.3056 0.1254 0.8198
O 0.7543 0.0636 0.6907
O 0.8746 0.6944 0.1802
O 0.9364 0.2457 0.3093
O 0.9364 0.6271 0.6907
O 0.5141 0.6944 0.8198

Volume, Å³ per cell: 154
Magnetization, μB/cell: 1.0
Energy relative to the elements, uncorrected, eV per atom: -1.825
E, eV/cell: -79.4


(22)
Material: La2Ga3Pt4Pb
Method: DFT, GGA-PBE
State: optimized geometry

abc: 4.4080 4.4080 10.8556
angles: 90.00 90.00 90.00
Sites, in units of the cell vectors:
La 0.5000 0.0000 0.2419
La 0.0000 0.5000 0.7581
Ga 0.0000 0.0000 0.5000
Ga 0.5000 0.0000 0.8810
Ga 0.0000 0.5000 0.1190
Pt 0.5000 0.5000 0.0000
Pt 0.0000 0.0000 0.0000
Pt 0.5000 0.0000 0.6538
Pt 0.0000 0.5000 0.3462
Pb 0.5000 0.5000 0.5000

Volume, Å³ per cell: 211
ΔH_f (0 K), meV/atom: -881
Magnetization, μB/cell: 0.0
E, eV/cell: -55.6


(23)
Material: Ga2Ag5Cl12
Method: DFT, GGA-PBE
State: optimized geometry

abc: 8.0425 7.8686 11.9722
angles: 112.46 90.00 120.73
Sites, in units of the cell vectors:
Ga 0.8029 0.0000 0.0000
Ga 0.1971 0.0000 0.0000
Ag 0.3064 0.6129 0.6492
Ag 0.3995 0.7990 0.3732
Ag 0.0000 0.0000 0.5000
Ag 0.6005 0.2010 0.6268
Ag 0.6936 0.3871 0.3508
Cl 0.9919 0.9837 0.1396
Cl 0.1279 0.6728 0.9088
Cl 0.5449 0.6728 0.9088
Cl 0.0751 0.7070 0.4435
Cl 0.6319 0.7070 0.4435
Cl 0.5080 0.0160 0.7650
Cl 0.4920 0.9840 0.2350
Cl 0.9249 0.2930 0.5565
Cl 0.3681 0.2930 0.5565
Cl 0.8721 0.3272 0.0912
Cl 0.4551 0.3272 0.0912
Cl 0.0081 0.0163 0.8604

Volume, Å³ per cell: 583
Magnetization, μB/cell: 0.2
Energy relative to the elements, uncorrected, eV per atom: -0.651
Energy above the lowest structure with this stoichiometry, eV/atom: 0.005
E, eV/cell: -54.8